A geometry-optimized Be3InC structure. Source: the Alexandria database, functional PBE.

CIF file:
```
data_Be3InC
_cell_length_a 4.527
_cell_length_b 4.527
_cell_length_c 4.527
_cell_angle_alpha 90.00
_cell_angle_beta 90.00
_cell_angle_gamma 90.00
_space_group_name_H-M_alt 'P m -3 m'
_space_group_IT_number 221
_space_group_name_Hall '-P 4 2 3'
loop_
_atom_site_label
_atom_site_fract_x
_atom_site_fract_y
_atom_site_fract_z
_atom_site_occupancy
Be1 0.000 0.000 0.500 1
In1 0.000 0.000 0.000 1
C1 0.500 0.500 0.500 1
```

Output
- distance to the lowest polymorph of the same formula (meV/atom) = 1812.2
- ΔE_f (meV per atom) = 2360

A geometry-optimized Pr2ScAl3Pt4 structure. Source: the Alexandria database, functional PBE.

CIF file:
```
data_Pr2ScAl3Pt4
_cell_length_a 4.344
_cell_length_b 4.344
_cell_length_c 10.702
_cell_angle_alpha 90.00
_cell_angle_beta 90.00
_cell_angle_gamma 90.00
_space_group_name_H-M_alt 'P -4 m 2'
_space_group_IT_number 115
loop_
_space_group_symop_operation_xyz
'x,y,z'
'y,-x,-z'
'-x,-y,z'
'-y,x,-z'
'-x,y,z'
'-y,-x,-z'
'x,-y,z'
'y,x,-z'
loop_
_atom_site_label
_atom_site_fract_x
_atom_site_fract_y
_atom_site_fract_z
_atom_site_occupancy
Pr1 0.000 0.500 0.237 1
Sc1 0.000 0.000 0.500 1
Al1 0.000 0.500 0.879 1
Al2 0.500 0.500 0.500 1
Pt1 0.000 0.000 0.000 1
Pt2 0.000 0.500 0.644 1
Pt3 0.500 0.500 0.000 1
```

Output
- ΔE_f (meV per atom) = -1095

A geometry-optimized Sc3NbCl2O6 structure. Source: the Alexandria database, functional PBE.

CIF file:
```
data_Sc3NbCl2O6
_cell_length_a 10.969
_cell_length_b 6.223
_cell_length_c 5.308
_cell_angle_alpha 90.00
_cell_angle_beta 102.02
_cell_angle_gamma 90.00
_space_group_name_H-M_alt 'C 1 2/m 1'
_space_group_IT_number 12
loop_
_space_group_symop_operation_xyz
'x,y,z'
'-x,-y,-z'
'-x,y,-z'
'x,-y,z'
'x+1/2,y+1/2,z'
'-x+1/2,-y+1/2,-z'
'-x+1/2,y+1/2,-z'
'x+1/2,-y+1/2,z'
loop_
_atom_site_label
_atom_site_fract_x
_atom_site_fract_y
_atom_site_fract_z
_atom_site_occupancy
Sc1 0.000 0.000 0.000 1
Sc2 0.250 0.250 0.500 1
Nb1 0.000 0.500 0.500 1
Cl1 0.198 0.000 0.829 1
O1 0.061 0.254 0.288 1
O2 0.180 0.500 0.671 1
```

Output
- energy relative to the elements, uncorrected (eV per atom) = -2.7151

A geometry-optimized SrCa6Hg2 structure. Source: the Alexandria database, functional PBE.

CIF file:
```
data_SrCa6Hg2
_cell_length_a 13.398
_cell_length_b 4.253
_cell_length_c 12.357
_cell_angle_alpha 90.00
_cell_angle_beta 107.63
_cell_angle_gamma 90.00
_space_group_name_H-M_alt 'C 1 2/m 1'
_space_group_IT_number 12
loop_
_space_group_symop_operation_xyz
'x,y,z'
'-x,-y,-z'
'-x,y,-z'
'x,-y,z'
'x+1/2,y+1/2,z'
'-x+1/2,-y+1/2,-z'
'-x+1/2,y+1/2,-z'
'x+1/2,-y+1/2,z'
loop_
_atom_site_label
_atom_site_fract_x
_atom_site_fract_y
_atom_site_fract_z
_atom_site_occupancy
Sr1 0.000 0.000 0.000 1
Ca1 0.006 0.500 0.284 1
Ca2 0.155 0.000 0.548 1
Ca3 0.243 0.000 0.866 1
Hg1 0.185 0.000 0.288 1
```

Output
- ΔE_f (meV per atom) = -259

A geometry-optimized Na3Dy3SnO8 structure. Source: the Alexandria database, functional PBE.

CIF file:
```
data_Na3Dy3SnO8
_cell_length_a 6.7785
_cell_length_b 6.7785
_cell_length_c 16.7666
_cell_angle_alpha 90.00
_cell_angle_beta 90.00
_cell_angle_gamma 120.00
_space_group_name_H-M_alt 'R -3 m'
_space_group_IT_number 166
_space_group_name_Hall '-R 3 2"'
loop_
_atom_site_label
_atom_site_fract_x
_atom_site_fract_y
_atom_site_fract_z
_atom_site_occupancy
Na1 0.0000 0.5000 0.0000 1
Dy1 0.0000 0.5000 0.5000 1
Sn1 0.0000 0.0000 0.5000 1
O1 0.0000 0.0000 0.2350 1
O2 0.0241 0.5120 0.2338 1
```

Output
- energy relative to the elements, uncorrected (eV per atom) = -2.5671

A geometry-optimized VB3H structure. Source: the Alexandria database, functional PBE.

CIF file:
```
data_VB3H
_cell_length_a 3.194
_cell_length_b 3.194
_cell_length_c 3.194
_cell_angle_alpha 90.00
_cell_angle_beta 90.00
_cell_angle_gamma 90.00
_space_group_name_H-M_alt 'P m -3 m'
_space_group_IT_number 221
_space_group_name_Hall '-P 4 2 3'
loop_
_atom_site_label
_atom_site_fract_x
_atom_site_fract_y
_atom_site_fract_z
_atom_site_occupancy
V1 0.000 0.000 0.000 1
B1 0.000 0.500 0.500 1
H1 0.500 0.500 0.500 1
```

Output
- distance to the lowest polymorph of the same formula (meV/atom) = 0.0

A geometry-optimized HfTcNi structure. Source: the Alexandria database, functional PBE.

CIF file:
```
data_HfTcNi
_cell_length_a 4.4099
_cell_length_b 4.4099
_cell_length_c 5.5368
_cell_angle_alpha 90.00
_cell_angle_beta 90.00
_cell_angle_gamma 120.00
_space_group_name_H-M_alt 'P 3 m 1'
_space_group_IT_number 156
loop_
_space_group_symop_operation_xyz
'x,y,z'
'-y,x-y,z'
'-x+y,-x,z'
'-y,-x,z'
'-x+y,y,z'
'x,x-y,z'
loop_
_atom_site_label
_atom_site_fract_x
_atom_site_fract_y
_atom_site_fract_z
_atom_site_occupancy
Hf1 0.0000 0.0000 0.0000 1
Hf2 0.3333 0.6667 0.3520 1
Tc1 0.3333 0.6667 0.8242 1
Tc2 0.6667 0.3333 0.7010 1
Ni1 0.0000 0.0000 0.4891 1
Ni2 0.6667 0.3333 0.2304 1
```

Output
- distance to the lowest polymorph of the same formula (meV/atom) = 97.0
- ΔE_f (meV per atom) = -249

A geometry-optimized CdCuTc2 structure. Source: the Alexandria database, functional PBE.

CIF file:
```
data_CdCuTc2
_cell_length_a 3.385
_cell_length_b 4.077
_cell_length_c 8.880
_cell_angle_alpha 90.00
_cell_angle_beta 90.00
_cell_angle_gamma 90.00
_space_group_name_H-M_alt 'C m m m'
_space_group_IT_number 65
_space_group_name_Hall '-C 2 2'
loop_
_atom_site_label
_atom_site_fract_x
_atom_site_fract_y
_atom_site_fract_z
_atom_site_occupancy
Cd1 0.000 0.000 0.000 1
Cu1 0.000 0.000 0.500 1
Tc1 0.000 0.500 0.272 1
```

Output
- ΔE_f (meV per atom) = 458

A geometry-optimized ZrSbP3 structure. Source: the Alexandria database, functional PBE.

CIF file:
```
data_ZrSbP3
_cell_length_a 4.899
_cell_length_b 4.899
_cell_length_c 4.899
_cell_angle_alpha 90.00
_cell_angle_beta 90.00
_cell_angle_gamma 90.00
_space_group_name_H-M_alt 'P m -3 m'
_space_group_IT_number 221
_space_group_name_Hall '-P 4 2 3'
loop_
_atom_site_label
_atom_site_fract_x
_atom_site_fract_y
_atom_site_fract_z
_atom_site_occupancy
Zr1 0.000 0.000 0.000 1
Sb1 0.500 0.500 0.500 1
P1 0.000 0.500 0.500 1
```

Output
- distance to the lowest polymorph of the same formula (meV/atom) = 449.4
- energy relative to the elements, uncorrected (eV per atom) = 0.9178

A geometry-optimized Ta2Br structure. Source: the Alexandria database, functional PBE.

CIF file:
```
data_Ta2Br
_cell_length_a 3.819
_cell_length_b 22.498
_cell_length_c 3.551
_cell_angle_alpha 90.00
_cell_angle_beta 90.00
_cell_angle_gamma 90.00
_space_group_name_H-M_alt 'C m c m'
_space_group_IT_number 63
_space_group_name_Hall '-C 2c 2'
loop_
_atom_site_label
_atom_site_fract_x
_atom_site_fract_y
_atom_site_fract_z
_atom_site_occupancy
Ta1 0.000 0.152 0.250 1
Ta2 0.000 0.248 0.750 1
Br1 0.000 0.415 0.250 1
```

Output
- distance to the lowest polymorph of the same formula (meV/atom) = 436.3
- energy relative to the elements, uncorrected (eV per atom) = 0.4617

A geometry-optimized PrNd3Y6Er2 structure. Source: the Alexandria database, functional PBE.

CIF file:
```
data_PrNd3Y6Er2
_cell_length_a 6.241
_cell_length_b 10.804
_cell_length_c 11.892
_cell_angle_alpha 90.00
_cell_angle_beta 100.03
_cell_angle_gamma 90.00
_space_group_name_H-M_alt 'C 1 2/m 1'
_space_group_IT_number 12
loop_
_space_group_symop_operation_xyz
'x,y,z'
'-x,-y,-z'
'-x,y,-z'
'x,-y,z'
'x+1/2,y+1/2,z'
'-x+1/2,-y+1/2,-z'
'-x+1/2,y+1/2,-z'
'x+1/2,-y+1/2,z'
loop_
_atom_site_label
_atom_site_fract_x
_atom_site_fract_y
_atom_site_fract_z
_atom_site_occupancy
Pr1 0.000 0.000 0.000 1
Nd1 0.000 0.167 0.500 1
Nd2 0.000 0.500 0.500 1
Y1 0.248 0.500 0.248 1
Y2 0.250 0.167 0.248 1
Er1 0.000 0.333 0.000 1
```

Output
- ΔE_f (meV per atom) = 16

A geometry-optimized GaFeNiPt structure. Source: the Alexandria database, functional PBE.

CIF file:
```
data_GaFeNiPt
_cell_length_a 5.999
_cell_length_b 5.999
_cell_length_c 5.999
_cell_angle_alpha 90.00
_cell_angle_beta 90.00
_cell_angle_gamma 90.00
_space_group_name_H-M_alt 'F -4 3 m'
_space_group_IT_number 216
_space_group_name_Hall 'F -4 2 3'
loop_
_atom_site_label
_atom_site_fract_x
_atom_site_fract_y
_atom_site_fract_z
_atom_site_occupancy
Ga1 0.000 0.000 0.000 1
Fe1 0.000 0.000 0.500 1
Ni1 0.250 0.250 0.750 1
Pt1 0.250 0.250 0.250 1
```

Output
- ΔE_f (meV per atom) = -267

A geometry-optimized CaCe2Se3 structure. Source: the Alexandria database, functional PBE.

CIF file:
```
data_CaCe2Se3
_cell_length_a 8.415
_cell_length_b 5.950
_cell_length_c 12.655
_cell_angle_alpha 90.00
_cell_angle_beta 90.00
_cell_angle_gamma 90.00
_space_group_name_H-M_alt 'P n m a'
_space_group_IT_number 62
loop_
_space_group_symop_operation_xyz
'x,y,z'
'-x,-y,-z'
'-x+1/2,-y,z+1/2'
'x+1/2,y,-z+1/2'
'x+1/2,-y+1/2,-z+1/2'
'-x+1/2,y+1/2,z+1/2'
'-x,y+1/2,-z'
'x,-y+1/2,z'
loop_
_atom_site_label
_atom_site_fract_x
_atom_site_fract_y
_atom_site_fract_z
_atom_site_occupancy
Ca1 0.125 0.250 0.084 1
Ce1 0.122 0.250 0.417 1
Ce2 0.125 0.250 0.749 1
Se1 0.122 0.750 0.082 1
Se2 0.127 0.750 0.751 1
Se3 0.130 0.750 0.418 1
```

Output
- energy relative to the elements, uncorrected (eV per atom) = -1.8416

A geometry-optimized Hf3PdC structure. Source: the Alexandria database, functional PBE.

CIF file:
```
data_Hf3PdC
_cell_length_a 3.303
_cell_length_b 11.682
_cell_length_c 8.905
_cell_angle_alpha 90.00
_cell_angle_beta 90.00
_cell_angle_gamma 90.00
_space_group_name_H-M_alt 'C m c m'
_space_group_IT_number 63
_space_group_name_Hall '-C 2c 2'
loop_
_atom_site_label
_atom_site_fract_x
_atom_site_fract_y
_atom_site_fract_z
_atom_site_occupancy
Hf1 0.000 0.055 0.250 1
Hf2 0.000 0.373 0.058 1
Pd1 0.000 0.252 0.750 1
C1 0.000 0.000 0.000 1
```

Output
- distance to the lowest polymorph of the same formula (meV/atom) = 0.0
- ΔE_f (meV per atom) = -712

A geometry-optimized K2PtAu2 structure. Source: the Alexandria database, functional PBE.

CIF file:
```
data_K2PtAu2
_cell_length_a 3.814
_cell_length_b 3.814
_cell_length_c 19.670
_cell_angle_alpha 90.00
_cell_angle_beta 90.00
_cell_angle_gamma 90.00
_space_group_name_H-M_alt 'I 4/m m m'
_space_group_IT_number 139
_space_group_name_Hall '-I 4 2'
loop_
_atom_site_label
_atom_site_fract_x
_atom_site_fract_y
_atom_site_fract_z
_atom_site_occupancy
K1 0.000 0.000 0.098 1
Pt1 0.000 0.000 0.500 1
Au1 0.000 0.500 0.250 1
```

Output
- distance to the lowest polymorph of the same formula (meV/atom) = 200.1
- ΔE_f (meV per atom) = 45

A geometry-optimized Sr3As2Pd9Au structure. Source: the Alexandria database, functional PBE.

CIF file:
```
data_Sr3As2Pd9Au
_cell_length_a 7.5192
_cell_length_b 7.5192
_cell_length_c 6.9836
_cell_angle_alpha 90.00
_cell_angle_beta 90.00
_cell_angle_gamma 120.00
_space_group_name_H-M_alt 'P -3 m 1'
_space_group_IT_number 164
_space_group_name_Hall '-P 3 2"'
loop_
_atom_site_label
_atom_site_fract_x
_atom_site_fract_y
_atom_site_fract_z
_atom_site_occupancy
Sr1 0.0000 0.0000 0.0000 1
Sr2 0.3333 0.6667 0.6658 1
As1 0.3333 0.6667 0.1425 1
Pd1 0.0000 0.5000 0.0000 1
Pd2 0.1803 0.3606 0.3293 1
Au1 0.0000 0.0000 0.5000 1
```

Output
- ΔE_f (meV per atom) = -389

A geometry-optimized Bi2AuS2 structure. Source: the Alexandria database, functional PBE.

CIF file:
```
data_Bi2AuS2
_cell_length_a 4.844
_cell_length_b 4.844
_cell_length_c 11.914
_cell_angle_alpha 90.00
_cell_angle_beta 90.00
_cell_angle_gamma 90.00
_space_group_name_H-M_alt 'I 4/m m m'
_space_group_IT_number 139
_space_group_name_Hall '-I 4 2'
loop_
_atom_site_label
_atom_site_fract_x
_atom_site_fract_y
_atom_site_fract_z
_atom_site_occupancy
Bi1 0.000 0.000 0.140 1
Au1 0.000 0.000 0.500 1
S1 0.000 0.500 0.250 1
```

Output
- distance to the lowest polymorph of the same formula (meV/atom) = 190.8
- energy relative to the elements, uncorrected (eV per atom) = 0.1475

A geometry-optimized Tb4TeIrS2 structure. Source: the Alexandria database, functional PBE.

CIF file:
```
data_Tb4TeIrS2
_cell_length_a 7.168
_cell_length_b 4.015
_cell_length_c 7.212
_cell_angle_alpha 90.00
_cell_angle_beta 108.54
_cell_angle_gamma 90.00
_space_group_name_H-M_alt 'P 1 2/m 1'
_space_group_IT_number 10
loop_
_space_group_symop_operation_xyz
'x,y,z'
'-x,-y,-z'
'-x,y,-z'
'x,-y,z'
loop_
_atom_site_label
_atom_site_fract_x
_atom_site_fract_y
_atom_site_fract_z
_atom_site_occupancy
Tb1 0.233 0.000 0.219 1
Tb2 0.254 0.500 0.775 1
Te1 0.500 0.500 0.500 1
Ir1 0.500 0.000 0.000 1
S1 0.000 0.000 0.500 1
S2 0.000 0.500 0.000 1
```

Output
- energy relative to the elements, uncorrected (eV per atom) = -1.4598

A geometry-optimized Ba2Ti6N2O11 structure. Source: the Alexandria database, functional PBE.

CIF file:
```
data_Ba2Ti6N2O11
_cell_length_a 15.327
_cell_length_b 3.943
_cell_length_c 9.272
_cell_angle_alpha 90.00
_cell_angle_beta 98.87
_cell_angle_gamma 90.00
_space_group_name_H-M_alt 'C 1 2/m 1'
_space_group_IT_number 12
loop_
_space_group_symop_operation_xyz
'x,y,z'
'-x,-y,-z'
'-x,y,-z'
'x,-y,z'
'x+1/2,y+1/2,z'
'-x+1/2,-y+1/2,-z'
'-x+1/2,y+1/2,-z'
'x+1/2,-y+1/2,z'
loop_
_atom_site_label
_atom_site_fract_x
_atom_site_fract_y
_atom_site_fract_z
_atom_site_occupancy
Ba1 0.045 0.000 0.264 1
Ti1 0.122 0.500 0.585 1
Ti2 0.172 0.500 0.941 1
Ti3 0.243 0.500 0.256 1
N1 0.204 0.000 0.920 1
O1 0.000 0.500 0.500 1
O2 0.075 0.500 0.790 1
O3 0.127 0.500 0.117 1
O4 0.138 0.000 0.609 1
O5 0.161 0.500 0.409 1
O6 0.242 0.500 0.729 1
```

Output
- distance to the lowest polymorph of the same formula (meV/atom) = 10.4
- energy relative to the elements, uncorrected (eV per atom) = -2.7839

A geometry-optimized Li3InGa structure. Source: the Alexandria database, functional PBE.

CIF file:
```
data_Li3InGa
_cell_length_a 5.511
_cell_length_b 4.537
_cell_length_c 7.062
_cell_angle_alpha 90.00
_cell_angle_beta 101.70
_cell_angle_gamma 90.00
_space_group_name_H-M_alt 'P 1 21/m 1'
_space_group_IT_number 11
loop_
_space_group_symop_operation_xyz
'x,y,z'
'-x,-y,-z'
'-x,y+1/2,-z'
'x,-y+1/2,z'
loop_
_atom_site_label
_atom_site_fract_x
_atom_site_fract_y
_atom_site_fract_z
_atom_site_occupancy
Li1 0.051 0.250 0.331 1
Li2 0.240 0.250 0.747 1
Li3 0.440 0.250 0.143 1
In1 0.328 0.750 0.450 1
Ga1 0.150 0.750 0.040 1
```

Output
- distance to the lowest polymorph of the same formula (meV/atom) = 0.0
- ΔE_f (meV per atom) = -294

Calculated total energy for every record listed, in sequence, given in eV per cell: -11.34; -62.24; -190.18; -33.25; -299.81; -29.06; -53.69; -47.82; -24.31; -95.97; -133.60; -97.52; -141.49; -191.34; -29.13; -70.19; -37.11; -50.46; -361.74; -25.95.